Pr14NdEr: optimized geometry, PBE.

Calculated values
- Mass density: 6.6 g/cm³
- Formation energy: 0.01 eV/atom

Cell lengths 7.389, 7.389, 10.478 Å; angles 90.00, 90.00, 90.00 degrees
Fractional coordinates of all 16 atoms:
Pr  0.000  0.000  0.000
Pr  0.000  0.500  0.000
Pr  0.000  0.500  0.500
Pr  0.249  0.249  0.252
Pr  0.249  0.249  0.748
Pr  0.249  0.751  0.252
Pr  0.249  0.751  0.748
Pr  0.500  0.000  0.000
Pr  0.500  0.000  0.500
Pr  0.500  0.500  0.000
Pr  0.751  0.249  0.252
Pr  0.751  0.249  0.748
Pr  0.751  0.751  0.252
Pr  0.751  0.751  0.748
Nd  0.500  0.500  0.500
Er  0.000  0.000  0.500